No. 1
The following is a PBE-GGA calculation of TlFeBr2 after structural relaxation, from Alexandria via LeMat-Bulk.

```
TlFeBr2
1.0
-2.8871 -1.1803 -1.2255
1.7008 -2.0521 -2.0305
-0.0958 -6.4335 6.4219
Br Fe Tl
2 1 1
direct
0.0000 0.0000 0.0719 Br
0.0000 0.0000 0.4281 Br
0.5000 0.5000 0.2500 Fe
0.5000 0.5000 0.7500 Tl
```

Values from the calculation:
Space-group type = P4/mmm (123)
DFT total energy = -14.33 eV per formula unit
Fermi-level density of states = 1.6 states/eV per cell


No. 2
The following is a PBE-GGA calculation of K4Rb7Tl after structural relaxation, from Alexandria via LeMat-Bulk.

```
K4Rb7Tl
1.0
7.2076 0.0000 0.0000
-3.6038 7.5437 -1.7547
0.0000 -0.2719 17.2995
K Rb Tl
4 7 1
direct
0.0393 0.0787 0.8055 K
0.9607 0.9213 0.1945 K
0.6753 0.3506 0.2641 K
0.3247 0.6494 0.7359 K
0.2428 0.4856 0.0927 Rb
0.7572 0.5144 0.9073 Rb
0.4095 0.8190 0.3634 Rb
0.5905 0.1810 0.6366 Rb
0.1406 0.2811 0.4572 Rb
0.5000 0.0000 0.0000 Rb
0.8594 0.7189 0.5428 Rb
0.0000 0.0000 0.0000 Tl
```

Values from the calculation:
Space-group type = C2/m (12)
DFT total energy = -13.30 eV per formula unit
Energy of formation from the pure elements = 0.0187 eV per atom
Fermi-level density of states = 9.6 states/eV per cell